(1)
# PBE-GGA Ge4PbBr2, optimized geometry
data_Ge4PbBr2
_chemical_formula_sum 'Ge4 Pb1 Br2'
_space_group_name_H-M_alt 'P 1'
_space_group_IT_number 1
_space_group_name_Hall 'P 1'
_cell_length_a 8.6391
_cell_length_b 8.6391
_cell_length_c 8.6391
_cell_angle_alpha 143.19
_cell_angle_beta 143.19
_cell_angle_gamma 53.04
loop_
_atom_site_label
_atom_site_fract_x
_atom_site_fract_y
_atom_site_fract_z
Ge1 0.0000 0.5000 0.5000
Ge2 0.2278 0.2278 0.0000
Ge3 0.5000 0.0000 0.5000
Ge4 0.7722 0.7722 0.0000
Pb1 0.0000 0.0000 0.0000
Br1 0.3950 0.3950 0.0000
Br2 0.6050 0.6050 0.0000
# raw total energy	-2.958	eV/atom

(2)
# PBE-GGA Ge6Pb4Br19, optimized geometry
data_Ge6Pb4Br19
_chemical_formula_sum 'Ge6 Pb4 Br19'
_space_group_name_H-M_alt 'P 1'
_space_group_IT_number 1
_space_group_name_Hall 'P 1'
_cell_length_a 10.8928
_cell_length_b 10.8928
_cell_length_c 10.8928
_cell_angle_alpha 109.47
_cell_angle_beta 109.47
_cell_angle_gamma 109.47
loop_
_atom_site_label
_atom_site_fract_x
_atom_site_fract_y
_atom_site_fract_z
Ge1 0.1404 0.5000 0.6404
Ge2 0.3596 0.8596 0.5000
Ge3 0.5000 0.3596 0.8596
Ge4 0.5000 0.6404 0.1404
Ge5 0.6404 0.1404 0.5000
Ge6 0.8596 0.5000 0.3596
Pb1 0.0000 0.0000 0.2806
Pb2 0.0000 0.2806 0.0000
Pb3 0.2806 0.0000 0.0000
Pb4 0.7194 0.7194 0.7194
Br1 0.0000 0.0000 0.0000
Br2 0.0000 0.2821 0.2821
Br3 0.0000 0.7179 0.7179
Br4 0.0679 0.7657 0.3940
Br5 0.2343 0.3021 0.6283
Br6 0.2821 0.0000 0.2821
Br7 0.2821 0.2821 0.0000
Br8 0.3021 0.6283 0.2343
Br9 0.3261 0.6979 0.9321
Br10 0.3717 0.6739 0.6060
Br11 0.3940 0.0679 0.7657
Br12 0.6060 0.3717 0.6739
Br13 0.6283 0.2343 0.3021
Br14 0.6739 0.6060 0.3717
Br15 0.6979 0.9321 0.3261
Br16 0.7179 0.0000 0.7179
Br17 0.7179 0.7179 0.0000
Br18 0.7657 0.3940 0.0679
Br19 0.9321 0.3261 0.6979
# raw total energy	-3.146	eV/atom

(3)
# PBE-GGA Ge3PbBr, optimized geometry
data_Ge3PbBr
_chemical_formula_sum 'Ge3 Pb1 Br1'
_space_group_name_H-M_alt 'P 1'
_space_group_IT_number 1
_space_group_name_Hall 'P 1'
_cell_length_a 5.2382
_cell_length_b 5.2382
_cell_length_c 5.2382
_cell_angle_alpha 90.00
_cell_angle_beta 90.00
_cell_angle_gamma 90.00
loop_
_atom_site_label
_atom_site_fract_x
_atom_site_fract_y
_atom_site_fract_z
Ge1 0.0000 0.0000 0.5000
Ge2 0.0000 0.5000 0.0000
Ge3 0.5000 0.0000 0.0000
Pb1 0.5000 0.5000 0.5000
Br1 0.0000 0.0000 0.0000
# distance to the lowest polymorph of the same formula	0	meV/atom
# raw total energy	-3.093	eV/atom

(4)
# PBE-GGA Ge2PbBr, optimized geometry
data_Ge2PbBr
_chemical_formula_sum 'Ge4 Pb2 Br2'
_space_group_name_H-M_alt 'P 1'
_space_group_IT_number 1
_space_group_name_Hall 'P 1'
_cell_length_a 8.7076
_cell_length_b 8.7076
_cell_length_c 8.7076
_cell_angle_alpha 139.57
_cell_angle_beta 139.57
_cell_angle_gamma 58.51
loop_
_atom_site_label
_atom_site_fract_x
_atom_site_fract_y
_atom_site_fract_z
Ge1 0.1188 0.6250 0.9938
Ge2 0.3750 0.3688 0.4938
Ge3 0.6312 0.1250 0.0062
Ge4 0.8750 0.8812 0.5062
Pb1 0.2500 0.7500 0.5000
Pb2 0.5000 0.5000 0.0000
Br1 0.0000 0.0000 0.0000
Br2 0.7500 0.2500 0.5000
# distance to the lowest polymorph of the same formula	110	meV/atom
# raw total energy	-3.252	eV/atom

(5)
# PBE-GGA GePb3Br, optimized geometry
data_GePb3Br
_chemical_formula_sum 'Ge1 Pb3 Br1'
_space_group_name_H-M_alt 'P 1'
_space_group_IT_number 1
_space_group_name_Hall 'P 1'
_cell_length_a 5.6863
_cell_length_b 5.6863
_cell_length_c 5.6863
_cell_angle_alpha 90.00
_cell_angle_beta 90.00
_cell_angle_gamma 90.00
loop_
_atom_site_label
_atom_site_fract_x
_atom_site_fract_y
_atom_site_fract_z
Ge1 0.0000 0.0000 0.0000
Pb1 0.0000 0.0000 0.5000
Pb2 0.0000 0.5000 0.0000
Pb3 0.5000 0.0000 0.0000
Br1 0.5000 0.5000 0.5000
# distance to the lowest polymorph of the same formula	0	meV/atom
# raw total energy	-3.223	eV/atom

(6)
# PBE-GGA Ge2PbBr, optimized geometry
data_Ge2PbBr
_chemical_formula_sum 'Ge2 Pb1 Br1'
_space_group_name_H-M_alt 'P 1'
_space_group_IT_number 1
_space_group_name_Hall 'P 1'
_cell_length_a 5.1745
_cell_length_b 5.1745
_cell_length_c 5.1745
_cell_angle_alpha 60.00
_cell_angle_beta 60.00
_cell_angle_gamma 60.00
loop_
_atom_site_label
_atom_site_fract_x
_atom_site_fract_y
_atom_site_fract_z
Ge1 0.2500 0.2500 0.2500
Ge2 0.7500 0.7500 0.7500
Pb1 0.0000 0.0000 0.0000
Br1 0.5000 0.5000 0.5000
# distance to the lowest polymorph of the same formula	0	meV/atom
# raw total energy	-3.362	eV/atom